(1)
Computed, not measured: crystalline Rb2Mn3Br8 at its relaxed geometry at the PBE level of DFT.

Calculated values
Space-group type: C2/m, No. 12

Cell: 9.2074 9.2074 7.0056 Å, 105.49 105.49 52.29°
Positions (direct):
1 Rb 0.2370 0.2370 0.1711
2 Rb 0.7630 0.7630 0.8289
3 Mn 0.2400 0.7600 0.5000
4 Mn 0.5000 0.5000 0.0000
5 Mn 0.7600 0.2400 0.5000
6 Br 0.1028 0.1028 0.4553
7 Br 0.1772 0.6390 0.1144
8 Br 0.3610 0.8228 0.8856
9 Br 0.4053 0.4053 0.6045
10 Br 0.5947 0.5947 0.3955
11 Br 0.6390 0.1772 0.1144
12 Br 0.8228 0.3610 0.8856
13 Br 0.8972 0.8972 0.5447

(2)
Computed, not measured: crystalline Rb2MnBr at its relaxed geometry at the PBE level of DFT.

Calculated values
ΔE to the lowest computed polymorph in meV/atom: 0.0
Space-group type: I-42d, No. 122

Cell: 8.1783 8.1783 8.1783 Å, 109.19 109.19 110.04°
Positions (direct):
1 Rb 0.0887 0.6250 0.9637
2 Rb 0.3750 0.3387 0.4637
3 Rb 0.6613 0.1250 0.0363
4 Rb 0.8750 0.9113 0.5363
5 Mn 0.2500 0.7500 0.5000
6 Mn 0.5000 0.5000 0.0000
7 Br 0.0000 0.0000 0.0000
8 Br 0.7500 0.2500 0.5000

(3)
Computed, not measured: crystalline Rb3Mn5Br12 at its relaxed geometry at the PBE level of DFT.

Calculated values
Space-group type: Ia-3d, No. 230

Cell: 15.1110 15.1110 15.1110 Å, 109.47 109.47 109.47°
Positions (direct):
1 Rb 0.1250 0.2500 0.3750
2 Rb 0.1250 0.3750 0.7500
3 Rb 0.2500 0.3750 0.1250
4 Rb 0.2500 0.8750 0.6250
5 Rb 0.3750 0.1250 0.2500
6 Rb 0.3750 0.7500 0.1250
7 Rb 0.6250 0.2500 0.8750
8 Rb 0.6250 0.8750 0.7500
9 Rb 0.7500 0.1250 0.3750
10 Rb 0.7500 0.6250 0.8750
11 Rb 0.8750 0.6250 0.2500
12 Rb 0.8750 0.7500 0.6250
13 Mn 0.0000 0.0000 0.0000
14 Mn 0.0000 0.0000 0.5000
15 Mn 0.0000 0.5000 0.0000
16 Mn 0.0000 0.5000 0.5000
17 Mn 0.1250 0.7500 0.8750
18 Mn 0.1250 0.8750 0.2500
19 Mn 0.2500 0.1250 0.8750
20 Mn 0.2500 0.6250 0.3750
21 Mn 0.3750 0.2500 0.6250
22 Mn 0.3750 0.6250 0.7500
23 Mn 0.5000 0.0000 0.0000
24 Mn 0.5000 0.0000 0.5000
25 Mn 0.5000 0.5000 0.0000
26 Mn 0.5000 0.5000 0.5000
27 Mn 0.6250 0.3750 0.2500
28 Mn 0.6250 0.7500 0.3750
29 Mn 0.7500 0.3750 0.6250
30 Mn 0.7500 0.8750 0.1250
31 Mn 0.8750 0.1250 0.7500
32 Mn 0.8750 0.2500 0.1250
33 Br 0.0128 0.1945 0.1089
34 Br 0.0128 0.3183 0.9039
35 Br 0.0855 0.6945 0.6817
36 Br 0.0855 0.8911 0.4039
37 Br 0.0961 0.6089 0.4145
38 Br 0.0961 0.9872 0.6817
39 Br 0.1089 0.0128 0.1945
40 Br 0.1089 0.5961 0.9145
41 Br 0.1817 0.1945 0.5855
42 Br 0.1817 0.4872 0.5961
43 Br 0.1945 0.1089 0.0128
44 Br 0.1945 0.5855 0.1817
45 Br 0.3055 0.3183 0.9145
46 Br 0.3055 0.4872 0.3911
47 Br 0.3183 0.9039 0.0128
48 Br 0.3183 0.9145 0.3055
49 Br 0.3911 0.3055 0.4872
50 Br 0.3911 0.5855 0.9039
51 Br 0.4039 0.0855 0.8911
52 Br 0.4039 0.8183 0.5128
53 Br 0.4145 0.0961 0.6089
54 Br 0.4145 0.8183 0.8055
55 Br 0.4872 0.3911 0.3055
56 Br 0.4872 0.5961 0.1817
57 Br 0.5128 0.4039 0.8183
58 Br 0.5128 0.6089 0.6945
59 Br 0.5855 0.1817 0.1945
60 Br 0.5855 0.9039 0.3911
61 Br 0.5961 0.1817 0.4872
62 Br 0.5961 0.9145 0.1089
63 Br 0.6089 0.4145 0.0961
64 Br 0.6089 0.6945 0.5128
65 Br 0.6817 0.0855 0.6945
66 Br 0.6817 0.0961 0.9872
67 Br 0.6945 0.5128 0.6089
68 Br 0.6945 0.6817 0.0855
69 Br 0.8055 0.4145 0.8183
70 Br 0.8055 0.8911 0.9872
71 Br 0.8183 0.5128 0.4039
72 Br 0.8183 0.8055 0.4145
73 Br 0.8911 0.4039 0.0855
74 Br 0.8911 0.9872 0.8055
75 Br 0.9039 0.0128 0.3183
76 Br 0.9039 0.3911 0.5855
77 Br 0.9145 0.1089 0.5961
78 Br 0.9145 0.3055 0.3183
79 Br 0.9872 0.6817 0.0961
80 Br 0.9872 0.8055 0.8911

Calculated VASP energy in order - -56.83; -25.86; -354.42 eV/cell